[1]
Na3Ga2Sn5: optimized geometry, PBE-GGA.

a = 10.067 Å, b = 10.067 Å, c = 10.067 Å
α = 109.57°, β = 83.77°, γ = 140.67°
Atoms (fractional coordinates):
Na: 0.138 0.732 0.869
Na: 0.250 0.250 0.000
Na: 0.362 0.232 0.594
Na: 0.638 0.768 0.406
Na: 0.750 0.750 0.000
Na: 0.862 0.268 0.131
Ga: 0.116 0.146 0.263
Ga: 0.384 0.646 0.030
Ga: 0.616 0.354 0.970
Ga: 0.884 0.854 0.737
Sn: 0.031 0.250 0.781
Sn: 0.141 0.377 0.517
Sn: 0.250 0.750 0.500
Sn: 0.359 0.877 0.236
Sn: 0.469 0.250 0.219
Sn: 0.531 0.750 0.781
Sn: 0.641 0.123 0.764
Sn: 0.750 0.250 0.500
Sn: 0.859 0.623 0.483
Sn: 0.969 0.750 0.219

Calculated values
- Space group: Ibam
- Formation enthalpy at 0 K: -0.043 eV/atom

---

[2]
NaGaSn: optimized geometry, PBE-GGA.

a = 9.207 Å, b = 9.207 Å, c = 9.207 Å
α = 29.37°, β = 29.37°, γ = 29.37°
Atoms (fractional coordinates):
Na: 0.129 0.129 0.129
Na: 0.871 0.871 0.871
Ga: 0.375 0.375 0.375
Ga: 0.625 0.625 0.625
Sn: 0.263 0.263 0.263
Sn: 0.737 0.737 0.737

Calculated values
- Space group: R-3m
- Formation enthalpy at 0 K: -0.064 eV/atom

---

[3]
Na2Ga2Sn3: optimized geometry, PBE-GGA.

a = 10.473 Å, b = 10.473 Å, c = 7.062 Å
α = 90.00°, β = 90.00°, γ = 150.85°
Atoms (fractional coordinates):
Na: 0.034 0.966 0.750
Na: 0.151 0.849 0.250
Na: 0.849 0.151 0.750
Na: 0.966 0.034 0.250
Ga: 0.298 0.702 0.053
Ga: 0.298 0.702 0.447
Ga: 0.702 0.298 0.553
Ga: 0.702 0.298 0.947
Sn: 0.205 0.795 0.750
Sn: 0.430 0.570 0.546
Sn: 0.430 0.570 0.954
Sn: 0.570 0.430 0.046
Sn: 0.570 0.430 0.454
Sn: 0.795 0.205 0.250

Calculated values
- Space group: Cmcm
- Formation enthalpy at 0 K: -0.083 eV/atom
- Energy relative to the lowest polymorph listed for this composition: 0.0 meV per atom